Entry from Alexandria: a relaxed structure of Li2Ni2TeO6 (GGA+U).

Cell: 5.1948 5.1948 5.2519 Å, 100.14 100.14 118.81°
Atoms (fractional coordinates):
Li: 0.1787 0.8213 0.0000
Li: 0.8213 0.1787 0.0000
Ni: 0.3360 0.6640 0.5000
Ni: 0.6640 0.3360 0.5000
Te: 0.0000 0.0000 0.5000
O: 0.0636 0.3861 0.7215
O: 0.2303 0.2303 0.2802
O: 0.3861 0.0636 0.7215
O: 0.6139 0.9364 0.2785
O: 0.7697 0.7697 0.7198
O: 0.9364 0.6139 0.2785

Output
DOS at the Fermi energy in states/eV/cell: 0.000
Total energy in eV per atom: -5.21
Crystal system: monoclinic